Here is a relaxed structure of SrHo4S6 from Alexandria via LeMat-Bulk. Energies are from PBE.

Computed properties:
M_tot   0.0 μB per formula unit

Cell and atoms, written as POSCAR:
```
SrHo4S6
1.0
-1.712 1.721 -3.081
-4.608 -4.047 2.797
-6.088 15.106 11.825
Sr S Ho
2 12 8
direct
0.343 0.685 0.750
0.657 0.315 0.250
0.500 0.000 0.500
0.500 0.000 0.000
0.042 0.084 0.160
0.042 0.084 0.340
0.769 0.539 0.415
0.325 0.651 0.250
0.675 0.349 0.750
0.231 0.461 0.915
0.769 0.539 0.085
0.958 0.916 0.840
0.231 0.461 0.585
0.958 0.916 0.660
0.405 0.810 0.372
0.863 0.726 0.960
0.863 0.726 0.540
0.595 0.190 0.872
0.137 0.274 0.460
0.595 0.190 0.628
0.405 0.810 0.128
0.137 0.274 0.040
```



Here is a relaxed structure of SrHo2S4 from Alexandria via LeMat-Bulk. Energies are from PBE.

Computed properties:
M_tot   0.0 μB per formula unit

Cell and atoms, written as POSCAR:
```
SrHo2S4
1.0
-4.836 6.594 -1.070
-5.806 -3.516 4.685
7.652 0.940 2.945
S Ho Sr
8 4 2
direct
0.861 0.141 0.281
0.859 0.139 0.719
0.391 0.611 0.781
0.860 0.580 0.719
0.390 0.170 0.781
0.389 0.609 0.219
0.420 0.140 0.281
0.830 0.610 0.219
0.625 0.875 0.250
0.625 0.375 0.750
0.625 0.375 0.250
0.125 0.375 0.750
0.000 0.000 0.000
0.250 0.750 0.500
```



Here is a relaxed structure of Sr2TbHoS4 from Alexandria via LeMat-Bulk. Energies are from PBE.

Computed properties:
M_tot   0.0 μB per formula unit

Cell and atoms, written as POSCAR:
```
Sr2TbHoS4
1.0
4.038 0.000 0.000
0.000 6.982 0.117
0.000 -2.446 6.735
S Sr Tb Ho
4 2 1 1
direct
0.500 0.241 0.228
0.000 0.745 0.229
0.500 0.759 0.772
0.000 0.255 0.771
0.500 0.000 0.500
0.000 0.500 0.500
0.500 0.500 0.000
0.000 0.000 0.000
```



Here is a relaxed structure of Sr2HoTmS4 from Alexandria via LeMat-Bulk. Energies are from PBE.

Computed properties:
M_tot   0.0 μB per formula unit

Cell and atoms, written as POSCAR:
```
Sr2HoTmS4
1.0
-1.282 0.576 -3.759
-6.121 -2.817 1.656
-0.288 7.029 1.175
S Sr Ho Tm
4 2 1 1
direct
0.500 0.760 0.775
0.000 0.256 0.774
0.000 0.744 0.226
0.500 0.240 0.225
0.500 0.000 0.500
0.000 0.500 0.500
0.500 0.500 0.000
0.000 0.000 0.000
```



Here is a relaxed structure of SrHo2TmS4 from Alexandria via LeMat-Bulk. Energies are from PBE.

Computed properties:
M_tot   0.0 μB per formula unit

Cell and atoms, written as POSCAR:
```
SrHo2TmS4
1.0
-2.726 2.092 -1.916
-4.460 -1.157 5.084
0.565 5.006 4.661
S Sr Ho Tm
4 1 2 1
direct
0.000 0.762 0.735
0.000 0.238 0.265
0.500 0.247 0.741
0.500 0.753 0.259
0.500 0.500 0.000
0.500 0.000 0.500
0.000 0.000 0.000
0.000 0.500 0.500
```



Here is a relaxed structure of SrHoTm4S8 from Alexandria via LeMat-Bulk. Energies are from PBE.

Computed properties:
M_tot   0.0 μB per formula unit

Cell and atoms, written as POSCAR:
```
SrHoTm4S8
1.0
8.065 0.000 0.000
4.033 6.985 0.000
4.033 2.328 6.609
S Tm Sr Ho
8 4 1 1
direct
0.237 0.237 0.733
0.756 0.756 0.260
0.758 0.758 0.727
0.794 0.237 0.733
0.756 0.228 0.260
0.237 0.794 0.733
0.235 0.235 0.295
0.228 0.756 0.260
0.002 0.002 0.502
0.002 0.494 0.502
0.494 0.002 0.502
0.625 0.625 0.125
0.374 0.374 0.877
0.002 0.002 0.994
```



Here is a relaxed structure of Sr2HoUS6 from Alexandria via LeMat-Bulk. Energies are from PBE.

Computed properties:
M_tot   1.0 μB per formula unit

Cell and atoms, written as POSCAR:
```
Sr2HoUS6
1.0
-6.537 -2.361 0.027
2.279 -6.272 3.223
-1.482 4.139 9.103
S Ho Sr U
12 2 4 2
direct
0.612 0.035 0.255
0.112 0.465 0.755
0.314 0.701 0.440
0.803 0.808 0.557
0.697 0.308 0.943
0.303 0.692 0.057
0.814 0.799 0.940
0.388 0.965 0.745
0.686 0.299 0.560
0.186 0.201 0.060
0.197 0.192 0.443
0.888 0.535 0.245
0.000 0.500 0.500
0.500 0.000 0.000
0.526 0.579 0.751
0.974 0.079 0.749
0.474 0.421 0.249
0.026 0.921 0.251
0.500 0.000 0.500
0.000 0.500 0.000
```



Here is a relaxed structure of SrYHo4S8 from Alexandria via LeMat-Bulk. Energies are from PBE.

Computed properties:
M_tot   0.0 μB per formula unit

Cell and atoms, written as POSCAR:
```
SrYHo4S8
1.0
-7.528 2.936 -0.888
-6.410 -4.563 2.044
-4.419 1.908 6.567
S Ho Y Sr
8 4 1 1
direct
0.235 0.235 0.294
0.756 0.756 0.259
0.756 0.228 0.259
0.228 0.756 0.259
0.758 0.758 0.727
0.237 0.793 0.734
0.793 0.237 0.734
0.237 0.237 0.734
0.494 0.002 0.502
0.002 0.002 0.502
0.625 0.625 0.125
0.002 0.494 0.502
0.002 0.002 0.994
0.375 0.375 0.876
```



DFT total energy (eV/atom)
-6.138, -5.976, -5.672, -5.634, -5.936, -6.064, -6.250, -6.240